The following is a DFT calculation (PBE) of Sr3Zn2Rh7 after structural relaxation.

Lattice parameters (Å, degrees): 5.5072 5.5072 25.5137 90.00 90.00 120.00
Closest atoms and distances in Å follow each position.
Space group R-3m (No. 166, hexagonal axes)
Asymmetric unit:
Sr  0.0000  0.0000  0.0000  6 Zn 3.18, 12 Rh 3.45
Sr  0.0000  0.0000  0.1403  12 Rh 3.14-3.25, 3 Sr 3.45
Zn  0.0000  0.0000  0.3346  6 Rh 2.60-2.63
Rh  0.0000  0.0000  0.5000  6 Rh 2.70
Rh  0.0036  0.5018  0.9185  2 Zn 2.60-2.63, 5 Rh 2.70-2.78

Calculated density (g/cm³): 8.3
Fermi-level density of states (states/eV/f.u.): 11.49
ΔE_f (eV/f.u.): -4.037